(w)
Density functional theory data (PBE) for an optimized crystal structure of ZnI3Cl.

Summary:
- symmetry = Pm-3m
- magnetic moment (μB/atom) = 0.00

```
ZnI3Cl
1.0
5.760 0.000 0.000
0.000 5.760 0.000
0.000 0.000 5.760
Zn I Cl
1 3 1
Cartesian
0.000 0.000 0.000 Zn
0.000 2.880 2.880 I
2.880 0.000 2.880 I
2.880 2.880 0.000 I
2.880 2.880 2.880 Cl
```

---

(x)
Density functional theory data (PBE) for an optimized crystal structure of ZnI3Cl.

Summary:
- symmetry = Pm-3m
- magnetic moment (μB/atom) = 0.39

```
ZnI3Cl
1.0
5.569 0.000 0.000
0.000 5.569 0.000
0.000 0.000 5.569
Zn I Cl
1 3 1
Cartesian
0.000 0.000 0.000 Zn
0.000 0.000 2.784 I
0.000 2.784 0.000 I
2.784 0.000 0.000 I
2.784 2.784 2.784 Cl
```

---

Order of stability, best first: (x), (w)

---

(w)
Density functional theory data (PBE) for an optimized crystal structure of ZrICl3.

Summary:
- symmetry = P2_1
- magnetic moment (μB/atom) = 0.00

```
ZrICl3
1.0
7.371 0.000 0.000
0.000 6.249 0.000
-0.009 0.000 7.961
Zr I Cl
2 2 6
Cartesian
1.843 0.000 0.015 Zr
5.519 3.124 7.946 Zr
1.838 5.229 5.423 I
5.524 2.104 2.539 I
0.044 4.804 0.965 Cl
1.838 1.414 1.920 Cl
3.641 4.803 0.966 Cl
3.721 1.679 6.995 Cl
5.524 4.538 6.041 Cl
7.318 1.679 6.996 Cl
```

---

(x)
Density functional theory data (PBE) for an optimized crystal structure of ZrICl3.

Summary:
- symmetry = Pnma
- magnetic moment (μB/atom) = 0.00

```
ZrICl3
1.0
6.869 0.000 0.000
0.000 7.911 0.000
0.000 0.000 13.834
Zr I Cl
4 4 12
Cartesian
0.000 0.000 0.000 Zr
0.000 3.956 0.000 Zr
3.434 0.000 6.917 Zr
3.434 3.956 6.917 Zr
1.599 1.978 1.488 I
1.835 5.933 8.405 I
5.034 1.978 5.429 I
5.269 5.933 12.346 I
1.249 5.933 1.076 Cl
1.600 0.046 12.055 Cl
1.600 3.910 12.055 Cl
1.834 4.002 5.138 Cl
1.834 7.865 5.138 Cl
2.185 1.978 7.993 Cl
4.683 5.933 5.841 Cl
5.035 0.046 8.697 Cl
5.035 3.910 8.697 Cl
5.268 4.002 1.780 Cl
5.268 7.865 1.780 Cl
5.620 1.978 12.758 Cl
```

---

(y)
Density functional theory data (PBE) for an optimized crystal structure of ZrICl3.

Summary:
- symmetry = Pm-3m
- magnetic moment (μB/atom) = 0.01

```
ZrICl3
1.0
5.125 0.000 0.000
0.000 5.125 0.000
0.000 0.000 5.125
Zr I Cl
1 1 3
Cartesian
0.000 0.000 0.000 Zr
2.562 2.562 2.562 I
0.000 0.000 2.562 Cl
0.000 2.562 0.000 Cl
2.562 0.000 0.000 Cl
```

---

Order of stability, best first: (x), (w), (y)

---

(w)
Density functional theory data (PBE) for an optimized crystal structure of Zr2ICl2.

Summary:
- symmetry = P4/mbm
- magnetic moment (μB/atom) = 0.00

```
Zr2ICl2
1.0
8.206 0.000 0.000
0.000 8.206 0.000
0.000 0.000 3.523
Zr I Cl
4 2 4
Cartesian
0.983 3.120 0.000 Zr
3.120 7.223 0.000 Zr
5.086 0.983 0.000 Zr
7.223 5.086 0.000 Zr
0.000 0.000 0.000 I
4.103 4.103 0.000 I
1.110 5.213 1.761 Cl
2.993 1.110 1.761 Cl
5.213 7.096 1.761 Cl
7.096 2.993 1.761 Cl
```

---

(x)
Density functional theory data (PBE) for an optimized crystal structure of Zr2ICl2.

Summary:
- symmetry = I4/mmm
- magnetic moment (μB/atom) = 0.00

```
Zr2ICl2
1.0
-2.323 2.323 5.625
2.323 -2.323 5.625
2.323 2.323 -5.625
Zr I Cl
2 1 2
Cartesian
0.000 0.000 1.377 Zr
0.000 0.000 9.874 Zr
0.000 0.000 5.625 I
2.323 0.000 2.813 Cl
0.000 2.323 2.813 Cl
```

---

Order of stability, best first: (x), (w)

---

(w)
Density functional theory data (PBE) for an optimized crystal structure of Zr2ICl.

Summary:
- symmetry = I-42d
- magnetic moment (μB/atom) = 0.31

```
Zr2ICl
1.0
-2.361 2.361 9.120
2.361 -2.361 9.120
2.361 2.361 -9.120
Zr I Cl
4 2 2
Cartesian
3.541 1.036 -2.280 Zr
1.036 1.180 2.280 Zr
-1.180 1.325 6.840 Zr
1.325 1.180 11.400 Zr
2.361 0.000 4.560 I
0.000 0.000 9.120 I
0.000 0.000 0.000 Cl
0.000 2.361 4.560 Cl
```

---

(x)
Density functional theory data (PBE) for an optimized crystal structure of Zr2ICl.

Summary:
- symmetry = Fm-3m
- magnetic moment (μB/atom) = 0.24

```
Zr2ICl
1.0
0.000 3.491 3.491
3.491 0.000 3.491
3.491 3.491 0.000
Zr I Cl
2 1 1
Cartesian
1.745 1.745 1.745 Zr
5.236 5.236 5.236 Zr
0.000 0.000 0.000 I
3.491 3.491 3.491 Cl
```

---

Order of stability, best first: (w), (x)

---

(w)
Density functional theory data (PBE) for an optimized crystal structure of InCl5.

Summary:
- symmetry = Amm2
- magnetic moment (μB/atom) = 0.00

```
InCl5
1.0
6.220 0.000 0.000
0.000 1.862 6.458
0.000 -1.862 6.458
In Cl
1 5
Cartesian
0.000 0.000 0.000 In
0.000 0.000 4.739 Cl
0.000 0.000 8.138 Cl
3.110 0.000 1.378 Cl
3.110 0.000 5.679 Cl
3.110 0.000 10.018 Cl
```

---

(x)
Density functional theory data (PBE) for an optimized crystal structure of InCl5.

Summary:
- symmetry = Cm
- magnetic moment (μB/atom) = 0.00

```
InCl5
1.0
7.311 -1.846 0.000
7.311 1.846 0.000
-2.815 0.000 7.506
In Cl
1 5
Cartesian
0.000 0.000 0.000 In
2.949 0.000 1.434 Cl
2.667 0.000 3.416 Cl
7.008 0.000 1.753 Cl
5.768 0.000 6.249 Cl
9.718 0.000 6.401 Cl
```

---

Order of stability, best first: (x), (w)

---

(w)
Density functional theory data (PBE) for an optimized crystal structure of InCl5.

Summary:
- symmetry = P4/mmm
- magnetic moment (μB/atom) = 0.48

```
InCl5
1.0
3.513 0.000 0.000
0.000 3.513 0.000
0.000 0.000 12.390
In Cl
1 5
Cartesian
0.000 0.000 0.000 In
0.000 0.000 4.455 Cl
0.000 0.000 7.935 Cl
1.756 1.756 1.555 Cl
1.756 1.756 6.195 Cl
1.756 1.756 10.835 Cl
```

---

(x)
Density functional theory data (PBE) for an optimized crystal structure of InCl5.

Summary:
- symmetry = P6/mmm
- magnetic moment (μB/atom) = 0.55

```
InCl5
1.0
6.264 0.000 0.000
-3.132 5.425 0.000
0.000 0.000 4.848
In Cl
1 5
Cartesian
0.000 0.000 0.000 In
-1.566 2.713 2.424 Cl
0.000 3.617 0.000 Cl
3.132 0.000 2.424 Cl
1.566 2.713 2.424 Cl
3.132 1.808 0.000 Cl
```

---

Order of stability, best first: (w), (x)

---

(w)
Density functional theory data (PBE) for an optimized crystal structure of In2Cl.

Summary:
- symmetry = Fm-3m
- magnetic moment (μB/atom) = 0.00

```
In2Cl
1.0
0.000 3.728 3.728
3.728 0.000 3.728
3.728 3.728 0.000
In Cl
2 1
Cartesian
1.864 1.864 1.864 In
5.592 5.592 5.592 In
0.000 0.000 0.000 Cl
```

---

(x)
Density functional theory data (PBE) for an optimized crystal structure of In2Cl.

Summary:
- symmetry = Imma
- magnetic moment (μB/atom) = 0.00

```
In2Cl
1.0
-2.734 2.926 5.593
2.734 -2.926 5.593
2.734 2.926 -5.593
In Cl
4 2
Cartesian
0.000 1.463 0.169 In
2.734 1.463 2.032 In
0.000 1.463 3.562 In
2.734 1.463 5.424 In
2.734 1.463 -1.263 Cl
0.000 1.463 6.856 Cl
```

---

(y)
Density functional theory data (PBE) for an optimized crystal structure of In2Cl.

Summary:
- symmetry = P-3m1
- magnetic moment (μB/atom) = 0.00

```
In2Cl
1.0
3.526 0.000 0.000
-1.763 3.053 0.000
0.000 0.000 7.453
In Cl
2 1
Cartesian
0.000 2.036 2.289 In
1.763 1.018 5.164 In
0.000 0.000 0.000 Cl
```

---

(z)
Density functional theory data (PBE) for an optimized crystal structure of In2Cl.

Summary:
- symmetry = Cm
- magnetic moment (μB/atom) = 0.00

```
In2Cl
1.0
5.761 -1.829 0.000
5.761 1.829 0.000
-5.409 0.000 7.975
In Cl
4 2
Cartesian
0.000 0.000 0.000 In
-2.360 0.000 7.936 In
3.185 0.000 5.272 In
8.651 0.000 2.620 In
0.472 0.000 5.580 Cl
5.928 0.000 2.404 Cl
```

---

Order of stability, best first: (z), (y), (x), (w)

---

(w)
Density functional theory data (PBE) for an optimized crystal structure of In2Cl.

Summary:
- symmetry = C2/m
- magnetic moment (μB/atom) = 0.00

```
In2Cl
1.0
5.716 -1.867 0.000
5.716 1.867 0.000
-2.524 0.000 8.076
In Cl
4 2
Cartesian
0.283 0.000 3.965 In
2.864 0.000 1.344 In
6.044 0.000 6.732 In
8.625 0.000 4.111 In
3.237 0.000 6.318 Cl
5.671 0.000 1.758 Cl
```

---

(x)
Density functional theory data (PBE) for an optimized crystal structure of In2Cl.

Summary:
- symmetry = Immm
- magnetic moment (μB/atom) = 0.00

```
In2Cl
1.0
-1.927 1.964 5.413
1.927 -1.964 5.413
1.927 1.964 -5.413
In Cl
2 1
Cartesian
0.000 0.000 1.810 In
0.000 0.000 9.016 In
0.000 0.000 5.413 Cl
```

---

Order of stability, best first: (w), (x)

---

(w)
Density functional theory data (PBE) for an optimized crystal structure of In2Cl.

Summary:
- symmetry = Cmcm
- magnetic moment (μB/atom) = 0.00

```
In2Cl
1.0
2.610 -8.561 0.000
2.610 8.561 0.000
0.000 0.000 3.674
In Cl
4 2
Cartesian
2.610 7.174 2.756 In
2.610 4.217 0.919 In
2.610 -4.217 2.756 In
2.610 -7.174 0.919 In
2.610 1.693 2.756 Cl
2.610 -1.693 0.919 Cl
```

---

(x)
Density functional theory data (PBE) for an optimized crystal structure of In2Cl.

Summary:
- symmetry = P6_3/mmc
- magnetic moment (μB/atom) = 0.00

```
In2Cl
1.0
5.604 0.000 0.000
-2.802 4.853 0.000
0.000 0.000 6.385
In Cl
4 2
Cartesian
0.000 0.000 0.000 In
0.000 0.000 3.193 In
0.000 3.236 1.596 In
2.802 1.618 4.789 In
0.000 3.236 4.789 Cl
2.802 1.618 1.596 Cl
```

---

Order of stability, best first: (w), (x)

---

(w)
Density functional theory data (PBE) for an optimized crystal structure of In5Cl.

Summary:
- symmetry = Cm
- magnetic moment (μB/atom) = 0.00

```
In5Cl
1.0
5.915 -1.718 0.000
5.915 1.718 0.000
-3.065 0.000 8.132
In Cl
5 1
Cartesian
0.000 0.000 0.000 In
-1.661 0.000 5.193 In
1.524 0.000 5.431 In
5.664 0.000 2.746 In
5.624 0.000 7.828 In
2.853 0.000 2.167 Cl
```

---

(x)
Density functional theory data (PBE) for an optimized crystal structure of In5Cl.

Summary:
- symmetry = Cmmm
- magnetic moment (μB/atom) = 0.00

```
In5Cl
1.0
2.802 -8.461 0.000
2.802 8.461 0.000
0.000 0.000 3.436
In Cl
5 1
Cartesian
0.000 0.000 0.000 In
2.802 5.660 1.718 In
2.802 2.807 0.000 In
2.802 -2.807 0.000 In
2.802 -5.660 1.718 In
2.802 0.000 1.718 Cl
```

---

Order of stability, best first: (w), (x)

---

(w)
Density functional theory data (PBE) for an optimized crystal structure of InIrCl2.

Summary:
- symmetry = Immm
- magnetic moment (μB/atom) = 0.00

```
InIrCl2
1.0
-1.589 2.201 7.727
1.589 -2.201 7.727
1.589 2.201 -7.727
In Ir Cl
1 1 2
Cartesian
0.000 0.000 0.000 In
0.000 0.000 7.727 Ir
0.000 0.000 5.421 Cl
0.000 0.000 10.033 Cl
```

---

(x)
Density functional theory data (PBE) for an optimized crystal structure of InIrCl2.

Summary:
- symmetry = Pmmm
- magnetic moment (μB/atom) = 0.00

```
InIrCl2
1.0
3.103 0.000 0.000
0.000 4.478 0.000
0.000 0.000 5.415
In Ir Cl
1 1 2
Cartesian
0.000 0.000 0.000 In
1.552 0.000 2.708 Ir
0.000 2.239 2.708 Cl
1.552 2.239 0.000 Cl
```

---

Order of stability, best first: (w), (x)

---

(w)
Density functional theory data (PBE) for an optimized crystal structure of InIrS2Cl.

Summary:
- symmetry = P4/mmm
- magnetic moment (μB/atom) = 0.00

```
InIrS2Cl
1.0
4.646 0.000 0.000
0.000 4.646 0.000
0.000 0.000 5.217
In Ir S Cl
1 1 2 1
Cartesian
0.000 0.000 0.000 In
2.323 2.323 2.609 Ir
0.000 2.323 2.609 S
2.323 0.000 2.609 S
2.323 2.323 0.000 Cl
```

---

(x)
Density functional theory data (PBE) for an optimized crystal structure of InIrS2Cl.

Summary:
- symmetry = P4/mmm
- magnetic moment (μB/atom) = 0.55

```
InIrS2Cl
1.0
5.066 0.000 0.000
0.000 5.066 0.000
0.000 0.000 4.871
In Ir S Cl
1 1 2 1
Cartesian
0.000 0.000 0.000 In
2.533 2.533 2.435 Ir
0.000 2.533 0.000 S
2.533 0.000 0.000 S
0.000 0.000 2.435 Cl
```

---

Order of stability, best first: (w), (x)